The following is a DFT calculation (PBE) of crystalline TbDy7Ho5 at its relaxed geometry.

The energy is -56.397 eV/f.u. Its density of states at the Fermi level is 24.56 states/eV/f.u. The formation energy is 3.3 eV/f.u.

The structure belongs to space group Imm2 (No. 44); the cell edges are 6.632, 11.079 and 11.465 Å and the angles 90.00°, 90.00° and 90.00°. The asymmetric unit holds Tb at (0.000, 0.000, 0.000), Dy at (0.000, 0.000, 0.306), Dy at (0.000, 0.000, 0.612), Dy at (0.000, 0.329, 0.056), Dy at (0.000, 0.329, 0.556), Dy at (0.000, 0.500, 0.306), Ho at (0.000, 0.500, 0.807) and Ho at (0.233, 0.228, 0.806).